(1)
Below is crystalline YbCrB4 at its relaxed geometry, with properties calculated at the PBE level.

Cell and atoms, written as extended XYZ:
```
24
Lattice="5.929 0.000 0.000 0.000 11.484 0.000 0.000 0.000 3.370" Properties=species:S:1:pos:R:3 pbc="T T T"
Yb 0.733 1.739 0.000
Yb 2.231 7.481 0.000
Yb 3.698 4.003 0.000
Yb 5.196 9.745 0.000
Cr 0.730 4.813 0.000
Cr 2.234 10.555 0.000
Cr 3.695 0.929 0.000
Cr 5.199 6.671 0.000
B 0.135 7.950 1.685
B 0.680 6.286 1.685
B 0.807 11.102 1.685
B 1.283 9.363 1.685
B 1.682 3.621 1.685
B 2.157 5.360 1.685
B 2.284 0.544 1.685
B 2.830 2.207 1.685
B 3.100 9.277 1.685
B 3.645 10.940 1.685
B 3.772 6.124 1.685
B 4.247 7.864 1.685
B 4.647 2.121 1.685
B 5.122 0.382 1.685
B 5.249 5.198 1.685
B 5.795 3.535 1.685
```

- Size of the total moment: 0.61 μB/f.u.
- Uncorrected energy: -6.84 eV per atom
- Volume: 57.4 Å³/f.u.
- Energy of formation: -0.528 eV/atom
- D(E_F): 25.61 states/eV/cell
- Density: 7.766 g cm⁻³

=====

(2)
Below is crystalline ZnCrB3 at its relaxed geometry, with properties calculated at the PBE level.

Cell and atoms, written as extended XYZ:
```
5
Lattice="3.839 0.000 0.000 0.000 3.839 0.000 0.000 0.000 3.839" Properties=species:S:1:pos:R:3 pbc="T T T"
Zn 0.000 0.000 0.000
Cr 1.920 1.920 1.920
B 0.000 0.000 1.920
B 0.000 1.920 0.000
B 1.920 0.000 0.000
```

- Size of the total moment: 0.17 μB/f.u.
- Uncorrected energy: -4.04 eV per atom
- Relative energy among the computed polymorphs: 1.0222 eV per atom
- Volume: 56.6 Å³/f.u.
- Energy of formation: 2.145 eV/atom
- D(E_F): 7.64 states/eV/cell
- Density: 4.397 g cm⁻³

=====

(3)
Below is crystalline ZnCrB2 at its relaxed geometry, with properties calculated at the PBE level.

Cell and atoms, written as extended XYZ:
```
8
Lattice="-2.828 2.828 2.519 2.828 -2.828 2.519 2.828 2.828 -2.519" Properties=species:S:1:pos:R:3 pbc="T T T"
Zn 0.000 0.000 0.000
Zn 0.000 2.828 1.259
Cr 2.828 0.000 1.259
Cr 0.000 0.000 2.519
B 1.414 -1.394 1.889
B 1.434 1.414 0.630
B 1.414 4.222 -0.630
B 1.394 1.414 3.148
```

- Size of the total moment: 0.00 μB/f.u.
- Uncorrected energy: -5.25 eV per atom
- Volume: 40.3 Å³/f.u.
- Energy of formation: 0.808 eV/atom
- D(E_F): 0.04 states/eV/cell
- Density: 5.729 g cm⁻³

=====

(4)
Below is crystalline Zn3CrB at its relaxed geometry, with properties calculated at the PBE level.

Cell and atoms, written as extended XYZ:
```
5
Lattice="4.072 0.000 0.000 0.000 4.072 0.000 0.000 0.000 4.072" Properties=species:S:1:pos:R:3 pbc="T T T"
Zn 0.000 0.000 2.036
Zn 0.000 2.036 0.000
Zn 2.036 0.000 0.000
Cr 2.036 2.036 2.036
B 0.000 0.000 0.000
```

- Size of the total moment: 0.06 μB/f.u.
- Uncorrected energy: -3.18 eV per atom
- Relative energy among the computed polymorphs: 0.0000 eV per atom
- Volume: 67.5 Å³/f.u.
- Energy of formation: 0.847 eV/atom
- D(E_F): 6.27 states/eV/cell
- Density: 6.372 g cm⁻³

=====

(5)
Below is crystalline Zn3CrB at its relaxed geometry, with properties calculated at the PBE level.

Cell and atoms, written as extended XYZ:
```
5
Lattice="4.844 0.000 0.000 0.000 4.844 0.000 0.000 0.000 4.844" Properties=species:S:1:pos:R:3 pbc="T T T"
Zn 0.000 0.000 2.422
Zn 0.000 2.422 0.000
Zn 2.422 0.000 0.000
Cr 0.000 0.000 0.000
B 2.422 2.422 2.422
```

- Size of the total moment: 3.59 μB/f.u.
- Uncorrected energy: -2.42 eV per atom
- Relative energy among the computed polymorphs: 0.7607 eV per atom
- Volume: 113.7 Å³/f.u.
- Energy of formation: 1.608 eV/atom
- D(E_F): 3.92 states/eV/cell
- Density: 3.783 g cm⁻³

=====

(6)
Below is crystalline ZnCr2B at its relaxed geometry, with properties calculated at the PBE level.

Cell and atoms, written as extended XYZ:
```
4
Lattice="0.000 2.831 2.831 2.831 0.000 2.831 2.831 2.831 0.000" Properties=species:S:1:pos:R:3 pbc="T T T"
Zn 0.000 0.000 0.000
Cr 1.416 1.416 1.416
Cr 4.247 4.247 4.247
B 2.831 2.831 2.831
```

- Size of the total moment: 4.80 μB/f.u.
- Uncorrected energy: -6.30 eV per atom
- Relative energy among the computed polymorphs: 0.0000 eV per atom
- Volume: 45.4 Å³/f.u.
- Energy of formation: 0.502 eV/atom
- D(E_F): 3.65 states/eV/cell
- Density: 6.593 g cm⁻³

=====

Question: The highest D(E_F) belongs to which entry?
Answer: YbCrB4